Compound: LiCuTc2H
Source: Alexandria via LeMat-Bulk
Functional: PBE
Structure: optimized geometry

Lattice parameters (Å, degrees): 3.704 4.181 3.704 90.00 90.00 90.00
Atoms (fractional coordinates):
Tc (0.500, 0.000, 0.000)
Tc (0.000, 0.000, 0.500)
Cu (0.000, 0.500, 0.000)
H (0.000, 0.000, 0.000)
Li (0.500, 0.500, 0.500)

Computed properties:
- E: -28.62 eV/f.u.
- Crystal system: tetragonal

Compound: Ta2CrIr
Source: Alexandria via LeMat-Bulk
Functional: PBE
Structure: optimized geometry

Lattice parameters (Å, degrees): 3.184 3.184 6.286 90.00 90.00 90.00
Last column: magnetic moment on the atom in μB.
Atoms (fractional coordinates):
Ta (0.500, 0.500, 0.270)  -0.20
Ta (0.000, 0.000, 0.988)  0.02
Cr (0.000, 0.000, 0.492)  1.44
Ir (0.500, 0.500, 0.749)  0.18

Computed properties:
- Crystal system: tetragonal
- E_form: -0.1404 eV/atom

Compound: NdGaSi
Source: Alexandria via LeMat-Bulk
Functional: PBE
Structure: optimized geometry

Lattice parameters (Å, degrees): 4.205 4.251 7.167 90.00 90.00 90.00
Atoms (fractional coordinates):
Ga (0.812, 0.716, 0.481)
Ga (0.812, 0.216, 0.312)
Si (0.812, 0.216, 0.974)
Si (0.812, 0.716, 0.819)
Nd (0.312, 0.716, 0.137)
Nd (0.312, 0.216, 0.656)

Computed properties:
- Energy relative to the elements, uncorrected: -688.8 meV per atom
- Crystal system: orthorhombic

Compound: NpUSbN2
Source: Alexandria via LeMat-Bulk
Functional: PBE
Structure: optimized geometry

Lattice parameters (Å, degrees): 3.865 3.865 6.733 106.68 106.68 90.00
Last column: magnetic moment on the atom in μB.
Atoms (fractional coordinates):
Np (0.844, 0.844, 0.689)  3.15
N (0.247, 0.747, 0.494)  -0.12
N (0.747, 0.247, 0.494)  -0.12
Sb (0.502, 0.502, 0.004)  -0.12
U (0.160, 0.160, 0.319)  1.14

Computed properties:
- Energy relative to the elements, uncorrected: -1120.6 meV per atom
- Crystal system: tetragonal

Compound: ErTlCl6
Source: Alexandria via LeMat-Bulk
Functional: PBE
Structure: optimized geometry

Lattice parameters (Å, degrees): 6.587 6.587 7.092 62.32 62.32 59.99
Atoms (fractional coordinates):
Cl (0.089, 0.412, 0.748)
Cl (0.412, 0.750, 0.748)
Cl (0.911, 0.588, 0.252)
Cl (0.750, 0.089, 0.748)
Cl (0.250, 0.911, 0.252)
Cl (0.588, 0.250, 0.252)
Tl (0.000, 0.000, 0.000)
Er (0.500, 0.500, 0.500)

Computed properties:
- Energy relative to the elements, uncorrected: -1408.5 meV per atom
- Crystal system: trigonal

Compound: NaAc3Se2Br6
Source: Alexandria via LeMat-Bulk
Functional: PBE
Structure: optimized geometry

Lattice parameters (Å, degrees): 6.683 9.188 8.863 121.22 92.06 90.00
Atoms (fractional coordinates):
Ac (0.000, 0.500, 0.000)
Ac (0.500, 0.500, 0.500)
Ac (0.500, 0.000, 0.500)
Br (0.244, 0.164, 0.834)
Br (0.260, 0.158, 0.316)
Br (0.740, 0.842, 0.684)
Br (0.244, 0.670, 0.834)
Br (0.756, 0.836, 0.166)
Br (0.756, 0.330, 0.166)
Na (0.500, 0.000, 0.000)
Se (0.738, 0.332, 0.663)
Se (0.262, 0.668, 0.337)

Computed properties:
- Energy relative to the elements, uncorrected: -1871.5 meV per atom
- Crystal system: monoclinic